Entry 1:
This record from Alexandria via LeMat-Bulk describes an optimized crystal structure of Nd3H2Pb. The functional is PBE.

Computed properties:
The size of the total moment is 0.00 μB/cell. The volume is 288.6 Å³ per cell. For the total energy, the calculation gives -4.53 eV per atom. The symmetry is C2/m, No. 12.

Unit cell a=12.3610 b=12.3610 c=6.5928 alpha=104.68 beta=104.68 gamma=17.24
Fractional coordinates of all 12 atoms:
Nd: 0.0330 0.0330 0.2784
Nd: 0.2345 0.2345 0.2160
Nd: 0.3964 0.3964 0.1460
Nd: 0.6036 0.6036 0.8540
Nd: 0.7655 0.7655 0.7840
Nd: 0.9670 0.9670 0.7216
H: 0.0570 0.0570 0.9515
H: 0.2946 0.2946 0.9957
H: 0.7054 0.7054 0.0043
H: 0.9430 0.9430 0.0485
Pb: 0.3514 0.3514 0.5832
Pb: 0.6486 0.6486 0.4168

Entry 2:
This record from Alexandria via LeMat-Bulk describes an optimized crystal structure of TaCr3Au. The functional is PBE.

Computed properties:
The size of the total moment is 0.00 μB/cell. The volume is 90.9 Å³ per cell. The value obtained for the formation energy is 9.0 eV per formula unit. The symmetry is Pm-3m, No. 221.

Unit cell a=4.4964 b=4.4964 c=4.4964 alpha=90.00 beta=90.00 gamma=90.00
Fractional coordinates of all 5 atoms:
Ta: 0.0000 0.0000 0.0000
Cr: 0.0000 0.0000 0.5000
Cr: 0.0000 0.5000 0.0000
Cr: 0.5000 0.0000 0.0000
Au: 0.5000 0.5000 0.5000

Entry 3:
This record from Alexandria via LeMat-Bulk describes an optimized crystal structure of Ca3TiH. The functional is PBE.

Computed properties:
The size of the total moment is 4.29 μB/cell. The volume is 210.2 Å³ per cell. For the total energy, the calculation gives -2.36 eV per atom. The symmetry is Pm-3m, No. 221.

Unit cell a=5.9458 b=5.9458 c=5.9458 alpha=90.00 beta=90.00 gamma=90.00
Fractional coordinates of all 5 atoms:
Ca: 0.0000 0.0000 0.5000
Ca: 0.0000 0.5000 0.0000
Ca: 0.5000 0.0000 0.0000
Ti: 0.0000 0.0000 0.0000
H: 0.5000 0.5000 0.5000

Question: Which formula does entry 1 have?
Answer: Nd3H2Pb

What did the third record say?
This record from Alexandria via LeMat-Bulk describes an optimized crystal structure of Ca3TiH. The functional is PBE.

Computed properties:
The size of the total moment is 4.29 μB/cell. The volume is 210.2 Å³ per cell. For the total energy, the calculation gives -2.36 eV per atom. The symmetry is Pm-3m, No. 221.

Unit cell a=5.9458 b=5.9458 c=5.9458 alpha=90.00 beta=90.00 gamma=90.00
Fractional coordinates of all 5 atoms:
Ca: 0.0000 0.0000 0.5000
Ca: 0.0000 0.5000 0.0000
Ca: 0.5000 0.0000 0.0000
Ti: 0.0000 0.0000 0.0000
H: 0.5000 0.5000 0.5000

Question: Look up the size of the total moment of the third one.
Answer: 4.29 μB/cell

Question: Which of these has the lowest volume?
Answer: TaCr3Au